Here is a relaxed structure of Bi2P6Pd21 from the Alexandria database. Energies are from PBE-GGA.

a b c (Å): 8.638 8.638 8.638
angles (deg): 60.00 60.00 60.00
Sites, in units of the cell vectors:
1 Bi 0.750 0.750 0.750
2 Bi 0.250 0.250 0.250
3 P 0.261 0.739 0.261
4 P 0.739 0.261 0.261
5 P 0.739 0.739 0.261
6 P 0.739 0.261 0.739
7 P 0.261 0.739 0.739
8 P 0.261 0.261 0.739
9 Pd 0.000 0.000 0.000
10 Pd 0.616 0.616 0.153
11 Pd 0.616 0.616 0.616
12 Pd 0.616 0.153 0.616
13 Pd 0.153 0.616 0.616
14 Pd 0.384 0.384 0.847
15 Pd 0.384 0.384 0.384
16 Pd 0.384 0.847 0.384
17 Pd 0.847 0.384 0.384
18 Pd 0.657 0.000 0.343
19 Pd 0.000 0.657 0.343
20 Pd 0.000 0.000 0.343
21 Pd 0.000 0.657 0.000
22 Pd 0.657 0.000 0.000
23 Pd 0.000 0.000 0.657
24 Pd 0.000 0.343 0.000
25 Pd 0.000 0.343 0.657
26 Pd 0.657 0.343 0.000
27 Pd 0.343 0.000 0.657
28 Pd 0.343 0.000 0.000
29 Pd 0.343 0.657 0.000

Summary:
ΔE_f ... -0.454 eV per atom
Electronic total energy ... -5.60 eV per atom